DFT (PBE+U) results for a relaxed structure of CrRuO2.

abc: 4.881 4.881 5.521
angles: 63.77 63.77 90.00
Fractional coordinates of all 8 atoms:
Ru 0.000 0.000 0.000
Ru 0.750 0.250 0.500
O 0.133 0.625 0.250
O 0.617 0.125 0.250
O 0.875 0.867 0.750
O 0.375 0.383 0.750
Cr 0.500 0.500 0.000
Cr 0.250 0.750 0.500

Results
size of the total moment = 0.6654 μB/atom
total DFT energy (no corrections) = -7.223 eV/atom